Below is LiTcNiMo after structural relaxation, with properties calculated at the GGA-PBE level.

a b c (Å): 5.9862 5.9862 5.9862
angles (deg): 90.00 90.00 90.00
Space group F-43m (No. 216)
Unique sites:
Li (0.0000, 0.0000, 0.0000) (multiplicity 4)
Tc (0.2500, 0.2500, 0.7500) (multiplicity 4)
Ni (0.2500, 0.2500, 0.2500) (multiplicity 4)
Mo (0.0000, 0.0000, 0.5000) (multiplicity 4)

Summary:
The magnetic moment comes out at 0.0 μB/f.u. For the formation energy, the calculation gives 151 meV/atom. The calculation puts the volume at 13.4 Å³/atom.